1.
# Li2ScTaTe

A relaxed structure of Li2ScTaTe (GGA-PBE, Alexandria via LeMat-Bulk).

Formation energy from raw total energies = 0.76 eV/atom

Structure (CIF):
```
data_Li2ScTaTe
_space_group_name_H-M_alt 'P 4/m m m'
_space_group_IT_number 123
_space_group_name_Hall '-P 4 2'
_cell_length_a 4.892
_cell_length_b 4.892
_cell_length_c 5.175
_cell_angle_alpha 90.00
_cell_angle_beta 90.00
_cell_angle_gamma 90.00
loop_
_atom_site_label
_atom_site_type_symbol
_atom_site_fract_x
_atom_site_fract_y
_atom_site_fract_z
Li1 Li 0.000 0.500 0.000
Sc1 Sc 0.000 0.000 0.500
Ta1 Ta 0.500 0.500 0.000
Te1 Te 0.500 0.500 0.500
```

---

2.
# LiScTaTi2

A relaxed structure of LiScTaTi2 (GGA-PBE, Alexandria via LeMat-Bulk).

DFT formation energy = 0.864 eV per atom

Structure (CIF):
```
data_LiScTaTi2
_space_group_name_H-M_alt 'P 4/m m m'
_space_group_IT_number 123
_space_group_name_Hall '-P 4 2'
_cell_length_a 4.735
_cell_length_b 4.735
_cell_length_c 5.024
_cell_angle_alpha 90.00
_cell_angle_beta 90.00
_cell_angle_gamma 90.00
loop_
_atom_site_label
_atom_site_type_symbol
_atom_site_fract_x
_atom_site_fract_y
_atom_site_fract_z
Li1 Li 0.000 0.000 0.000
Sc1 Sc 0.500 0.500 0.000
Ta1 Ta 0.000 0.000 0.500
Ti1 Ti 0.000 0.500 0.500
```

---

3.
# LiYSc2Ta

A relaxed structure of LiYSc2Ta (GGA-PBE, Alexandria via LeMat-Bulk).

DFT formation energy = 0.654 eV per atom

Structure (CIF):
```
data_LiYSc2Ta
_space_group_name_H-M_alt 'P 4/m m m'
_space_group_IT_number 123
_space_group_name_Hall '-P 4 2'
_cell_length_a 5.232
_cell_length_b 5.232
_cell_length_c 5.532
_cell_angle_alpha 90.00
_cell_angle_beta 90.00
_cell_angle_gamma 90.00
loop_
_atom_site_label
_atom_site_type_symbol
_atom_site_fract_x
_atom_site_fract_y
_atom_site_fract_z
Li1 Li 0.000 0.000 0.000
Y1 Y 0.500 0.500 0.000
Sc1 Sc 0.000 0.500 0.500
Ta1 Ta 0.500 0.500 0.500
```

---

4.
# LiTbSc2

A relaxed structure of LiTbSc2 (GGA-PBE, Alexandria via LeMat-Bulk).

DFT formation energy = 0.154 eV per atom

Structure (CIF):
```
data_LiTbSc2
_space_group_name_H-M_alt 'R -3 m'
_space_group_IT_number 166
_space_group_name_Hall '-R 3 2"'
_cell_length_a 3.3280
_cell_length_b 3.3280
_cell_length_c 31.9250
_cell_angle_alpha 90.00
_cell_angle_beta 90.00
_cell_angle_gamma 120.00
loop_
_atom_site_label
_atom_site_type_symbol
_atom_site_fract_x
_atom_site_fract_y
_atom_site_fract_z
Li1 Li 0.0000 0.0000 0.0000
Tb1 Tb 0.0000 0.0000 0.5000
Sc1 Sc 0.0000 0.0000 0.2530
```

---

5.
# LiTbSc2

A relaxed structure of LiTbSc2 (GGA-PBE, Alexandria via LeMat-Bulk).

DFT formation energy = 0.232 eV per atom

Structure (CIF):
```
data_LiTbSc2
_space_group_name_H-M_alt 'P 4/m m m'
_space_group_IT_number 123
_space_group_name_Hall '-P 4 2'
_cell_length_a 5.318
_cell_length_b 5.318
_cell_length_c 3.577
_cell_angle_alpha 90.00
_cell_angle_beta 90.00
_cell_angle_gamma 90.00
loop_
_atom_site_label
_atom_site_type_symbol
_atom_site_fract_x
_atom_site_fract_y
_atom_site_fract_z
Li1 Li 0.000 0.000 0.000
Tb1 Tb 0.500 0.500 0.000
Sc1 Sc 0.000 0.500 0.500
```

---

6.
# LiTbSc2

A relaxed structure of LiTbSc2 (GGA-PBE, Alexandria via LeMat-Bulk).

DFT formation energy = 0.120 eV per atom

Structure (CIF):
```
data_LiTbSc2
_space_group_name_H-M_alt 'P 4/m m m'
_space_group_IT_number 123
_space_group_name_Hall '-P 4 2'
_cell_length_a 3.449
_cell_length_b 3.449
_cell_length_c 8.278
_cell_angle_alpha 90.00
_cell_angle_beta 90.00
_cell_angle_gamma 90.00
loop_
_atom_site_label
_atom_site_type_symbol
_atom_site_fract_x
_atom_site_fract_y
_atom_site_fract_z
Li1 Li 0.000 0.000 0.000
Tb1 Tb 0.000 0.000 0.500
Sc1 Sc 0.500 0.500 0.215
```

---

7.
# Li4TbSc

A relaxed structure of Li4TbSc (GGA-PBE, Alexandria via LeMat-Bulk).

DFT formation energy = 0.145 eV per atom

Structure (CIF):
```
data_Li4TbSc
_space_group_name_H-M_alt 'F -4 3 m'
_space_group_IT_number 216
_space_group_name_Hall 'F -4 2 3'
_cell_length_a 8.075
_cell_length_b 8.075
_cell_length_c 8.075
_cell_angle_alpha 90.00
_cell_angle_beta 90.00
_cell_angle_gamma 90.00
loop_
_atom_site_label
_atom_site_type_symbol
_atom_site_fract_x
_atom_site_fract_y
_atom_site_fract_z
Li1 Li 0.124 0.124 0.124
Tb1 Tb 0.000 0.000 0.500
Sc1 Sc 0.250 0.250 0.750
```

---

8.
# LiTbSc2

A relaxed structure of LiTbSc2 (GGA-PBE, Alexandria via LeMat-Bulk).

DFT formation energy = 0.163 eV per atom

Structure (CIF):
```
data_LiTbSc2
_space_group_name_H-M_alt 'R 3 m'
_space_group_IT_number 160
_space_group_name_Hall 'R 3 -2"'
_cell_length_a 3.3464
_cell_length_b 3.3464
_cell_length_c 31.8822
_cell_angle_alpha 90.00
_cell_angle_beta 90.00
_cell_angle_gamma 120.00
loop_
_atom_site_label
_atom_site_type_symbol
_atom_site_fract_x
_atom_site_fract_y
_atom_site_fract_z
Li1 Li 0.0000 0.0000 0.0000
Tb1 Tb 0.0000 0.0000 0.1660
Sc1 Sc 0.0000 0.0000 0.4130
Sc2 Sc 0.0000 0.0000 0.5862
```